(1)
A geometry-optimized TbMg5Cu2 structure, computed with GGA-PBE.

* D(E_F): 10.06 states/eV per cell
* uncorrected energy: -2.689 eV/atom
* ΔE_f: -0.089 eV/atom
* crystal system: orthorhombic

Structure (CIF):
```
data_TbMg5Cu2
_chemical_formula_sum 'Tb2 Mg10 Cu4'
_cell_length_a 4.2291
_cell_length_b 8.1427
_cell_length_c 9.7558
_cell_angle_alpha 90.00
_cell_angle_beta 90.00
_cell_angle_gamma 90.00
_symmetry_space_group_name_H-M 'I m m m'
_symmetry_Int_Tables_number 71
_symmetry_space_group_name_Hall '-I 2 2'
loop_
_atom_site_label
_atom_site_type_symbol
_atom_site_fract_x
_atom_site_fract_y
_atom_site_fract_z
Tb1 Tb 0.0000 0.0000 0.0000
Mg1 Mg 0.0000 0.1861 0.3401
Mg2 Mg 0.0000 0.5000 0.0000
Cu1 Cu 0.0000 0.5000 0.2742
```

(2)
A geometry-optimized Pm3Sm3Au4 structure, computed with GGA-PBE.

* D(E_F): 20.80 states/eV per cell
* uncorrected energy: -4.805 eV/atom
* ΔE_f: -0.653 eV/atom
* crystal system: orthorhombic

Structure (CIF):
```
data_Pm3Sm3Au4
_chemical_formula_sum 'Pm6 Sm6 Au8'
_cell_length_a 3.8843
_cell_length_b 11.7961
_cell_length_c 11.8418
_cell_angle_alpha 90.00
_cell_angle_beta 90.00
_cell_angle_gamma 90.00
_symmetry_space_group_name_H-M 'A m m 2'
_symmetry_Int_Tables_number 38
_symmetry_space_group_name_Hall 'A 2 -2'
loop_
_atom_site_label
_atom_site_type_symbol
_atom_site_fract_x
_atom_site_fract_y
_atom_site_fract_z
Pm1 Pm 0.0000 0.0000 0.0000
Pm2 Pm 0.5000 0.2495 0.0870
Sm1 Sm 0.0000 0.0000 0.6715
Sm2 Sm 0.0000 0.1642 0.3373
Au1 Au 0.5000 0.0000 0.2080
Au2 Au 0.5000 0.0000 0.4661
Au3 Au 0.5000 0.1296 0.8352
```

(3)
A geometry-optimized AlZnC structure, computed with GGA-PBE.

* D(E_F): 6.54 states/eV per cell
* uncorrected energy: -4.589 eV/atom
* ΔE_f: 0.157 eV/atom
* crystal system: trigonal

Structure (CIF):
```
data_AlZnC
_chemical_formula_sum 'Al6 Zn6 C6'
_cell_length_a 3.4238
_cell_length_b 3.4238
_cell_length_c 24.7896
_cell_angle_alpha 90.00
_cell_angle_beta 90.00
_cell_angle_gamma 120.00
_symmetry_space_group_name_H-M 'R -3 m'
_symmetry_Int_Tables_number 166
_symmetry_space_group_name_Hall '-R 3 2"'
loop_
_atom_site_label
_atom_site_type_symbol
_atom_site_fract_x
_atom_site_fract_y
_atom_site_fract_z
Al1 Al 0.0000 0.0000 0.1290
Zn1 Zn 0.0000 0.0000 0.2964
C1 C 0.0000 0.0000 0.2163
```

- What is the formula in the first record?
  TbMg5Cu2

- ΔE_f of number 2 (Pm3Sm3Au4)?
  -0.653 eV/atom

- What is the formula in the first record?
  TbMg5Cu2

Repeat the first record exactly.
A geometry-optimized TbMg5Cu2 structure, computed with GGA-PBE.

* D(E_F): 10.06 states/eV per cell
* uncorrected energy: -2.689 eV/atom
* ΔE_f: -0.089 eV/atom
* crystal system: orthorhombic

Structure (CIF):
```
data_TbMg5Cu2
_chemical_formula_sum 'Tb2 Mg10 Cu4'
_cell_length_a 4.2291
_cell_length_b 8.1427
_cell_length_c 9.7558
_cell_angle_alpha 90.00
_cell_angle_beta 90.00
_cell_angle_gamma 90.00
_symmetry_space_group_name_H-M 'I m m m'
_symmetry_Int_Tables_number 71
_symmetry_space_group_name_Hall '-I 2 2'
loop_
_atom_site_label
_atom_site_type_symbol
_atom_site_fract_x
_atom_site_fract_y
_atom_site_fract_z
Tb1 Tb 0.0000 0.0000 0.0000
Mg1 Mg 0.0000 0.1861 0.3401
Mg2 Mg 0.0000 0.5000 0.0000
Cu1 Cu 0.0000 0.5000 0.2742
```